VASP calculation (PBE) on a relaxed LuAlOs crystal.

Unit cell a=3.280 b=3.280 c=5.546 alpha=107.20 beta=107.20 gamma=90.00
Fractional coordinates of all 3 atoms:
Lu 0.011 0.011 0.021
Os 0.687 0.687 0.374
Al 0.303 0.303 0.605

Results
E_tot   -6.92 eV per atom
M_tot   0.0 μB/f.u.